No. 1
Entry from Alexandria via LeMat-Bulk: a relaxed H2RhI3 crystal (GGA-PBE).

Properties
Energy: -19.7 eV per formula unit
Magnetization: 0.0 μB/f.u.

The structure in CIF format:
```
data_H2RhI3
_chemical_formula_sum 'H4 Rh2 I6'
_cell_length_a 8.0553
_cell_length_b 8.0553
_cell_length_c 6.7371
_cell_angle_alpha 90.00
_cell_angle_beta 90.00
_cell_angle_gamma 120.00
_space_group_name_H-M_alt 'P 1'
_space_group_IT_number 1
loop_
_space_group_symop_operation_xyz
'x,y,z'
loop_
_atom_site_label
_atom_site_fract_x
_atom_site_fract_y
_atom_site_fract_z
H1 0.3333 0.6667 0.1943
H2 0.3333 0.6667 0.3057
H3 0.6667 0.3333 0.6943
H4 0.6667 0.3333 0.8057
Rh1 0.0000 0.0000 0.0000
Rh2 0.0000 0.0000 0.5000
I1 0.1503 0.3005 0.7500
I2 0.1503 0.8497 0.7500
I3 0.3005 0.1503 0.2500
I4 0.6995 0.8497 0.7500
I5 0.8497 0.1503 0.2500
I6 0.8497 0.6995 0.2500
```

=====

No. 2
Entry from Alexandria via LeMat-Bulk: a relaxed FePPdCl2 crystal (GGA-PBE).

Properties
Energy: -19.7 eV per formula unit
Magnetization: 3.7 μB/f.u.

The structure in CIF format:
```
data_FePPdCl2
_chemical_formula_sum 'Fe1 P1 Pd1 Cl2'
_cell_length_a 4.8364
_cell_length_b 4.8364
_cell_length_c 4.7325
_cell_angle_alpha 90.00
_cell_angle_beta 90.00
_cell_angle_gamma 90.00
_space_group_name_H-M_alt 'P 1'
_space_group_IT_number 1
loop_
_space_group_symop_operation_xyz
'x,y,z'
loop_
_atom_site_label
_atom_site_fract_x
_atom_site_fract_y
_atom_site_fract_z
Fe1 0.0000 0.0000 0.0000
P1 0.5000 0.5000 0.0000
Pd1 0.5000 0.5000 0.5000
Cl1 0.0000 0.5000 0.5000
Cl2 0.5000 0.0000 0.5000
```

=====

No. 3
Entry from Alexandria via LeMat-Bulk: a relaxed GdEr2Si crystal (GGA-PBE).

Properties
Energy: -29.3 eV per formula unit
Magnetization: 7.9 μB/f.u.

The structure in CIF format:
```
data_GdEr2Si
_chemical_formula_sum 'Gd1 Er2 Si1'
_cell_length_a 10.1067
_cell_length_b 10.1067
_cell_length_c 10.1067
_cell_angle_alpha 20.66
_cell_angle_beta 20.66
_cell_angle_gamma 20.66
_space_group_name_H-M_alt 'P 1'
_space_group_IT_number 1
loop_
_space_group_symop_operation_xyz
'x,y,z'
loop_
_atom_site_label
_atom_site_fract_x
_atom_site_fract_y
_atom_site_fract_z
Gd1 0.0000 0.0000 0.0000
Er1 0.2316 0.2316 0.2316
Er2 0.7684 0.7684 0.7684
Si1 0.5000 0.5000 0.5000
```

=====

No. 4
Entry from Alexandria via LeMat-Bulk: a relaxed Cs2TaO5 crystal (GGA-PBE).

Properties
Energy: -50.9 eV per formula unit
Magnetization: 3.0 μB/f.u.

The structure in CIF format:
```
data_Cs2TaO5
_chemical_formula_sum 'Cs2 Ta1 O5'
_cell_length_a 6.9599
_cell_length_b 6.9599
_cell_length_c 4.0722
_cell_angle_alpha 90.00
_cell_angle_beta 90.00
_cell_angle_gamma 90.00
_space_group_name_H-M_alt 'P 1'
_space_group_IT_number 1
loop_
_space_group_symop_operation_xyz
'x,y,z'
loop_
_atom_site_label
_atom_site_fract_x
_atom_site_fract_y
_atom_site_fract_z
Cs1 0.0000 0.5000 0.0000
Cs2 0.5000 0.0000 0.0000
Ta1 0.0000 0.0000 0.5000
O1 0.0000 0.0000 0.0000
O2 0.1996 0.1996 0.5000
O3 0.1996 0.8004 0.5000
O4 0.8004 0.1996 0.5000
O5 0.8004 0.8004 0.5000
```

=====

No. 5
Entry from Alexandria via LeMat-Bulk: a relaxed TaTi2Al crystal (GGA-PBE).

Properties
Calculated formation energy: -0.19 eV per atom
Energy: -32.1 eV per formula unit
Magnetization: 0.0 μB/f.u.

The structure in CIF format:
```
data_TaTi2Al
_chemical_formula_sum 'Ta2 Ti4 Al2'
_cell_length_a 4.6791
_cell_length_b 5.5859
_cell_length_c 5.1768
_cell_angle_alpha 90.00
_cell_angle_beta 90.00
_cell_angle_gamma 90.00
_space_group_name_H-M_alt 'P 1'
_space_group_IT_number 1
loop_
_space_group_symop_operation_xyz
'x,y,z'
loop_
_atom_site_label
_atom_site_fract_x
_atom_site_fract_y
_atom_site_fract_z
Ta1 0.2500 0.2500 0.1357
Ta2 0.7500 0.7500 0.8643
Ti1 0.2500 0.0004 0.6505
Ti2 0.2500 0.4996 0.6505
Ti3 0.7500 0.9996 0.3495
Ti4 0.7500 0.5004 0.3495
Al1 0.2500 0.7500 0.1664
Al2 0.7500 0.2500 0.8336
```

=====

No. 6
Entry from Alexandria via LeMat-Bulk: a relaxed BaTlCuMo2 crystal (GGA-PBE).

Properties
Calculated formation energy: 1.26 eV per atom
Energy: -23.7 eV per formula unit
Magnetization: 6.2 μB/f.u.

The structure in CIF format:
```
data_BaTlCuMo2
_chemical_formula_sum 'Ba1 Tl1 Cu1 Mo2'
_cell_length_a 5.0494
_cell_length_b 5.0494
_cell_length_c 5.0708
_cell_angle_alpha 90.00
_cell_angle_beta 90.00
_cell_angle_gamma 90.00
_space_group_name_H-M_alt 'P 1'
_space_group_IT_number 1
loop_
_space_group_symop_operation_xyz
'x,y,z'
loop_
_atom_site_label
_atom_site_fract_x
_atom_site_fract_y
_atom_site_fract_z
Ba1 0.0000 0.0000 0.0000
Tl1 0.5000 0.5000 0.0000
Cu1 0.5000 0.5000 0.5000
Mo1 0.0000 0.5000 0.5000
Mo2 0.5000 0.0000 0.5000
```

=====

No. 7
Entry from Alexandria via LeMat-Bulk: a relaxed Ba2CuF crystal (GGA-PBE).

Properties
Energy: -13.7 eV per formula unit
Magnetization: 0.0 μB/f.u.

The structure in CIF format:
```
data_Ba2CuF
_chemical_formula_sum 'Ba2 Cu1 F1'
_cell_length_a 5.4471
_cell_length_b 5.4471
_cell_length_c 5.4471
_cell_angle_alpha 60.00
_cell_angle_beta 60.00
_cell_angle_gamma 60.00
_space_group_name_H-M_alt 'P 1'
_space_group_IT_number 1
loop_
_space_group_symop_operation_xyz
'x,y,z'
loop_
_atom_site_label
_atom_site_fract_x
_atom_site_fract_y
_atom_site_fract_z
Ba1 0.2500 0.2500 0.2500
Ba2 0.7500 0.7500 0.7500
Cu1 0.0000 0.0000 0.0000
F1 0.5000 0.5000 0.5000
```

=====

No. 8
Entry from Alexandria via LeMat-Bulk: a relaxed Ca2CuH6Pt crystal (GGA-PBE).

Properties
Energy: -38.3 eV per formula unit
Magnetization: 0.0 μB/f.u.

The structure in CIF format:
```
data_Ca2CuH6Pt
_chemical_formula_sum 'Ca2 Cu1 H6 Pt1'
_cell_length_a 5.5181
_cell_length_b 5.5181
_cell_length_c 5.5181
_cell_angle_alpha 126.98
_cell_angle_beta 126.98
_cell_angle_gamma 78.28
_space_group_name_H-M_alt 'P 1'
_space_group_IT_number 1
loop_
_space_group_symop_operation_xyz
'x,y,z'
loop_
_atom_site_label
_atom_site_fract_x
_atom_site_fract_y
_atom_site_fract_z
Ca1 0.0000 0.5000 0.5000
Ca2 0.5000 0.0000 0.5000
Cu1 0.2473 0.2473 0.0000
H1 0.0285 0.0285 0.4944
H2 0.0285 0.5341 0.0000
H3 0.0556 0.0556 0.0000
H4 0.5284 0.5284 0.0000
H5 0.5341 0.0285 0.0000
H6 0.5341 0.5341 0.5056
Pt1 0.7350 0.7350 0.0000
```

=====

No. 9
Entry from Alexandria via LeMat-Bulk: a relaxed MgAl3Rh crystal (GGA-PBE).

Properties
Calculated formation energy: -0.12 eV per atom
Energy: -20.8 eV per formula unit
Magnetization: 0.0 μB/f.u.

The structure in CIF format:
```
data_MgAl3Rh
_chemical_formula_sum 'Mg1 Al3 Rh1'
_cell_length_a 4.7348
_cell_length_b 4.7348
_cell_length_c 4.7348
_cell_angle_alpha 90.00
_cell_angle_beta 90.00
_cell_angle_gamma 90.00
_space_group_name_H-M_alt 'P 1'
_space_group_IT_number 1
loop_
_space_group_symop_operation_xyz
'x,y,z'
loop_
_atom_site_label
_atom_site_fract_x
_atom_site_fract_y
_atom_site_fract_z
Mg1 0.0000 0.0000 0.0000
Al1 0.0000 0.5000 0.5000
Al2 0.5000 0.0000 0.5000
Al3 0.5000 0.5000 0.0000
Rh1 0.5000 0.5000 0.5000
```

=====

No. 10
Entry from Alexandria via LeMat-Bulk: a relaxed CeEr6Tm3 crystal (GGA-PBE).

Properties
Calculated formation energy: 0.16 eV per atom
Energy: -45.1 eV per formula unit
Magnetization: 0.7 μB/f.u.

The structure in CIF format:
```
data_CeEr6Tm3
_chemical_formula_sum 'Ce2 Er12 Tm6'
_cell_length_a 10.8046
_cell_length_b 10.8046
_cell_length_c 6.1768
_cell_angle_alpha 90.00
_cell_angle_beta 90.00
_cell_angle_gamma 121.89
_space_group_name_H-M_alt 'P 1'
_space_group_IT_number 1
loop_
_space_group_symop_operation_xyz
'x,y,z'
loop_
_atom_site_label
_atom_site_fract_x
_atom_site_fract_y
_atom_site_fract_z
Ce1 0.2132 0.7868 0.5000
Ce2 0.7868 0.2132 0.0000
Er1 0.0152 0.4335 0.3427
Er2 0.0510 0.9490 0.7984
Er3 0.2887 0.3728 0.2028
Er4 0.3088 0.6912 0.0716
Er5 0.3728 0.2887 0.7028
Er6 0.4335 0.0152 0.8427
Er7 0.5665 0.9848 0.3427
Er8 0.6272 0.7113 0.2028
Er9 0.6912 0.3088 0.5716
Er10 0.7113 0.6272 0.7028
Er11 0.9490 0.0510 0.2984
Er12 0.9848 0.5665 0.8427
Tm1 0.0713 0.2932 0.7703
Tm2 0.2932 0.0713 0.2703
Tm3 0.3847 0.6153 0.6058
Tm4 0.6153 0.3847 0.1058
Tm5 0.7068 0.9287 0.7703
Tm6 0.9287 0.7068 0.2703
```

=====

No. 11
Entry from Alexandria via LeMat-Bulk: a relaxed Co2SiNi2 crystal (GGA-PBE).

Properties
Energy: -31.2 eV per formula unit
Magnetization: 2.5 μB/f.u.

The structure in CIF format:
```
data_Co2SiNi2
_chemical_formula_sum 'Co4 Si2 Ni4'
_cell_length_a 5.6632
_cell_length_b 5.6632
_cell_length_c 3.6632
_cell_angle_alpha 90.00
_cell_angle_beta 90.00
_cell_angle_gamma 90.00
_space_group_name_H-M_alt 'P 1'
_space_group_IT_number 1
loop_
_space_group_symop_operation_xyz
'x,y,z'
loop_
_atom_site_label
_atom_site_fract_x
_atom_site_fract_y
_atom_site_fract_z
Co1 0.1385 0.3615 0.0000
Co2 0.3615 0.8615 0.0000
Co3 0.6385 0.1385 0.0000
Co4 0.8615 0.6385 0.0000
Si1 0.0000 0.0000 0.0000
Si2 0.5000 0.5000 0.0000
Ni1 0.1578 0.6578 0.5000
Ni2 0.3422 0.1578 0.5000
Ni3 0.6578 0.8422 0.5000
Ni4 0.8422 0.3422 0.5000
```

=====

No. 12
Entry from Alexandria via LeMat-Bulk: a relaxed Na4Au3 crystal (GGA-PBE).

Properties
Calculated formation energy: -0.26 eV per atom
Energy: -16.9 eV per formula unit
Magnetization: 0.0 μB/f.u.

The structure in CIF format:
```
data_Na4Au3
_chemical_formula_sum 'Na4 Au3'
_cell_length_a 11.2040
_cell_length_b 11.2040
_cell_length_c 11.2040
_cell_angle_alpha 160.46
_cell_angle_beta 160.46
_cell_angle_gamma 27.77
_space_group_name_H-M_alt 'P 1'
_space_group_IT_number 1
loop_
_space_group_symop_operation_xyz
'x,y,z'
loop_
_atom_site_label
_atom_site_fract_x
_atom_site_fract_y
_atom_site_fract_z
Na1 0.0690 0.0690 0.0000
Na2 0.2077 0.2077 0.0000
Na3 0.7923 0.7923 0.0000
Na4 0.9310 0.9310 0.0000
Au1 0.3598 0.3598 0.0000
Au2 0.5000 0.5000 0.0000
Au3 0.6402 0.6402 0.0000
```